1.
Ce6Ru2PtCl3 | PBE | relaxed

Cell lengths 6.9960, 6.9960, 7.7394 Å; angles 98.65, 98.65, 120.00 degrees
Closest atoms and distances in Å follow each position.
Element x y z (fractional)
1 Ce 0.0851 0.4298 0.7895  2 Ru 2.77, 1 Pt 2.87, 1 Cl 3.10
2 Ce 0.2253 0.2253 0.2106  2 Ru 2.77, 1 Pt 2.87
3 Ce 0.4298 0.0851 0.7895  2 Ru 2.77, 1 Pt 2.87, 1 Cl 3.10
4 Ce 0.5702 0.9149 0.2105  2 Ru 2.77, 1 Pt 2.87, 1 Cl 3.10
5 Ce 0.7747 0.7747 0.7894  2 Ru 2.77, 1 Pt 2.87
6 Ce 0.9149 0.5702 0.2105  2 Ru 2.77, 1 Pt 2.87, 1 Cl 3.10
7 Ru 0.1666 0.8334 0.0000  6 Ce 2.77
8 Ru 0.8334 0.1666 0.0000  6 Ce 2.77
9 Pt 0.5000 0.5000 0.0000  6 Ce 2.87
10 Cl 0.0000 0.0000 0.5000  6 Ce 3.10-3.19
11 Cl 0.3328 0.6672 0.5000  6 Ce 3.10-3.20
12 Cl 0.6672 0.3328 0.5000  6 Ce 3.10-3.20

## Properties
symmetry	C2/m
uncorrected energy	-0.47840	Ry/atom
crystal system	monoclinic
E_form (uncorrected)	-1.031	eV per atom

2.
Sc2FeCoC | PBE | relaxed

Cell lengths 4.5552, 4.5552, 3.5656 Å; angles 90.00, 90.00, 90.00 degrees
Closest atoms and distances in Å follow each position.
Element x y z (fractional)
1 Sc 0.0000 0.5000 0.0000  2 C 2.28
2 Sc 0.5000 0.0000 0.0000  2 C 2.28
3 Fe 0.0000 0.0000 0.5000  8 Sc 2.89, 4 Co 3.22
4 Co 0.5000 0.5000 0.5000  2 C 1.78
5 C 0.5000 0.5000 0.0000  2 Co 1.78

## Properties
symmetry	P4/mmm
formation energy	-0.1740	eV per atom
uncorrected energy	-0.56338	Ry/atom
crystal system	tetragonal

3.
RbSiP2 | PBE | relaxed

Cell lengths 6.5722, 6.5722, 6.5722 Å; angles 103.70, 103.70, 121.75 degrees
Closest atoms and distances in Å follow each position.
Element x y z (fractional)
1 Rb 0.2500 0.2500 0.0000  2 Rb 3.20, 8 P 3.52
2 Rb 0.7500 0.7500 0.0000  2 Rb 3.20, 8 P 3.52
3 Si 0.2500 0.7500 0.5000  4 P 2.28
4 Si 0.7500 0.2500 0.5000  4 P 2.28
5 P 0.1410 0.6410 0.7819  2 Si 2.28
6 P 0.3590 0.1410 0.5000  2 Si 2.28
7 P 0.6410 0.8590 0.5000  2 Si 2.28
8 P 0.8590 0.3590 0.2181  2 Si 2.28

## Properties
symmetry	I4/mcm
uncorrected energy	-0.32278	Ry/atom
crystal system	tetragonal
E_form (uncorrected)	-0.089	eV per atom

4.
KCrCl2 | PBE | relaxed

Cell lengths 4.0088, 3.7938, 7.1238 Å; angles 90.00, 90.26, 90.00 degrees
Closest atoms and distances in Å follow each position.
Element x y z (fractional)
1 K 0.0000 0.0000 0.0000  8 Cl 3.30
2 Cr 0.5000 0.0000 0.5000  4 Cl 2.58
3 Cl 0.4973 0.5000 0.7451  2 Cr 2.58
4 Cl 0.5027 0.5000 0.2549  2 Cr 2.58

## Properties
symmetry	P2/m
uncorrected energy	-0.33368	Ry/atom
crystal system	monoclinic
E_form (uncorrected)	-0.936	eV per atom

5.
Zr2Al3Pt4 | PBE | relaxed

Cell lengths 7.9056, 7.9056, 7.5114 Å; angles 90.00, 90.00, 139.64 degrees
Closest atoms and distances in Å follow each position.
Element x y z (fractional)
1 Zr 0.1022 0.8978 0.9056  7 Pt 2.99-3.08, 4 Al 3.05-3.20
2 Zr 0.3978 0.6022 0.4056  7 Pt 2.99-3.08, 4 Al 3.05-3.20
3 Zr 0.6022 0.3978 0.5944  7 Pt 2.99-3.08, 4 Al 3.05-3.20
4 Zr 0.8978 0.1022 0.0944  7 Pt 2.99-3.08, 4 Al 3.05-3.20
5 Al 0.0000 0.0000 0.5000  6 Pt 2.48-2.68
6 Al 0.0183 0.4817 0.7500  5 Pt 2.53-2.59, 2 Al 2.73
7 Al 0.4817 0.0183 0.2500  5 Pt 2.53-2.59, 2 Al 2.73
8 Al 0.5000 0.5000 0.0000  6 Pt 2.48-2.68
9 Al 0.5183 0.9817 0.7500  5 Pt 2.53-2.59, 2 Al 2.73
10 Al 0.9817 0.5183 0.2500  5 Pt 2.53-2.59, 2 Al 2.73
11 Pt 0.1802 0.8198 0.5256  5 Al 2.53-2.68
12 Pt 0.1914 0.3086 0.7500  3 Al 2.48-2.57, 2 Pt 2.73
13 Pt 0.3086 0.1914 0.2500  3 Al 2.48-2.57, 2 Pt 2.73
14 Pt 0.3198 0.6802 0.0256  5 Al 2.53-2.68
15 Pt 0.6802 0.3198 0.9744  5 Al 2.53-2.68
16 Pt 0.6914 0.8086 0.7500  3 Al 2.48-2.57, 2 Pt 2.73
17 Pt 0.8086 0.6914 0.2500  3 Al 2.48-2.57, 2 Pt 2.73
18 Pt 0.8198 0.1802 0.4744  5 Al 2.53-2.68

## Properties
symmetry	Cmce
formation energy	-1.0547	eV per atom
uncorrected energy	-0.50615	Ry/atom
crystal system	orthorhombic